[1]
First-principles (PBE-GGA) data for a geometry-optimized RbTbBi2 structure, as listed in Alexandria.

The structure belongs to space group P4/mmm (No. 123); the cell edges are 4.226, 4.226 and 8.205 Å and the angles 90.00°, 90.00° and 90.00°. Symmetry generates all atoms from Rb at (0.000, 0.000, 0.000), Tb at (0.000, 0.000, 0.500) and Bi at (0.500, 0.500, 0.310).

The total moment is 0.00 μB per formula unit. For the formation enthalpy at 0 K, the calculation gives -0.50 eV per atom. For the raw total energy, the calculation gives -3.839 eV/atom.



[2]
First-principles (PBE-GGA) data for a geometry-optimized BaSi2Br structure, as listed in Alexandria.

The structure belongs to space group I-42d (No. 122); the cell edges are 10.022, 10.022 and 5.696 Å and the angles 90.00°, 90.00° and 90.00°. Symmetry generates all atoms from Ba at (0.000, 0.000, 0.000), Si at (0.243, 0.250, 0.625) and Br at (0.000, 0.000, 0.500).

The total moment is 0.00 μB per formula unit. The value obtained for the uncorrected formation energy is 0.278 eV/atom. For the raw total energy, the calculation gives -3.332 eV/atom.



[3]
First-principles (PBE-GGA) data for a geometry-optimized ErCuSi2Ir structure, as listed in Alexandria.

The structure belongs to space group I-4m2 (No. 119); the cell edges are 4.028, 4.028 and 9.951 Å and the angles 90.00°, 90.00° and 90.00°. Symmetry generates all atoms from Er at (0.000, 0.000, 0.000), Cu at (0.000, 0.500, 0.750), Si at (0.000, 0.000, 0.382) and Ir at (0.000, 0.500, 0.250).

The total moment is 0.00 μB per formula unit. The value obtained for the uncorrected formation energy is -0.769 eV/atom. For the raw total energy, the calculation gives -6.442 eV/atom.